! NdMgAgSn (PBE-GGA, relaxed); values from VASP
! Energy of formation from the pure elements in eV/atom: -0.4006
! VASP energy in eV per cell: -14.82
! DOS at the Fermi energy in states/eV/cell: 1.8
! Symmetry: F-43m, No. 216
&SYSTEM
  ibrav = 0, nat = 4, ntyp = 4
/
ATOMIC_SPECIES
Nd 144.24 Nd.upf
Ag 107.87 Ag.upf
Sn 118.71 Sn.upf
Mg 24.30 Mg.upf
CELL_PARAMETERS angstrom
-3.8268 -2.5687 -2.3478
-2.4467 -3.8258 2.4761
-4.8877 0.6427 1.5658
ATOMIC_POSITIONS angstrom
Nd 0.0000 0.0000 0.0000
Ag -8.3709 -4.3139 1.2705
Sn -2.7903 -1.4380 0.4235
Mg -5.5806 -2.8759 0.8470



! Te2HBr (PBE-GGA, relaxed); values from VASP
! VASP energy in eV per cell: -22.11
! DOS at the Fermi energy in states/eV/cell: 3.7
! Polymorph energy (0 for the lowest one) in eV per atom: 0.000
! Symmetry: Cc, No. 9
&SYSTEM
  ibrav = 0, nat = 8, ntyp = 3
/
ATOMIC_SPECIES
Te 127.60 Te.upf
H 1.01 H.upf
Br 79.90 Br.upf
CELL_PARAMETERS angstrom
-3.1702 5.7855 1.2104
-2.4121 -2.4481 5.0287
3.9033 1.2701 4.4996
ATOMIC_POSITIONS angstrom
Te -0.0695 2.8614 4.8067
H 0.3040 0.7066 7.9228
Br -2.5745 1.2247 5.9888
H -2.3073 4.4095 1.9745
Br -1.2785 -1.4407 3.5404
Te -0.7400 1.9838 8.3414
Te -0.2111 -0.0760 0.9956
Te -1.6449 5.7458 5.4769



! CaNb2H (PBE-GGA, relaxed); values from VASP
! VASP energy in eV per cell: -49.60
! DOS at the Fermi energy in states/eV/cell: 6.9
! Polymorph energy (0 for the lowest one) in eV per atom: 0.110
! Symmetry: P1, No. 1
&SYSTEM
  ibrav = 0, nat = 8, ntyp = 3
/
ATOMIC_SPECIES
H 1.01 H.upf
Nb 92.91 Nb.upf
Ca 40.08 Ca.upf
CELL_PARAMETERS angstrom
-0.5479 -1.4450 -4.8722
5.0584 -0.3711 -0.6851
-0.3260 -6.1633 -0.7224
ATOMIC_POSITIONS angstrom
H 2.7130 -6.3572 -4.6948
Nb 4.1741 -5.1475 -3.9387
Ca 4.5351 -2.2059 -2.1338
Ca 1.7589 -2.7840 -4.1476
Nb 1.6011 -5.9470 -3.1294
H 1.0719 -5.9196 -1.2433
Nb 1.9343 -4.1500 -1.1018
Nb 4.5069 -5.4379 -1.2501



! MnTlAuS2 (PBE-GGA, relaxed); values from VASP
! VASP energy in eV per cell: -49.60
! DOS at the Fermi energy in states/eV/cell: 1.0
! Symmetry: Cmme, No. 67
&SYSTEM
  ibrav = 0, nat = 10, ntyp = 4
/
ATOMIC_SPECIES
S 32.06 S.upf
Au 196.97 Au.upf
Mn 54.94 Mn.upf
Tl 204.38 Tl.upf
CELL_PARAMETERS angstrom
5.7588 0.0000 0.0000
0.0000 6.2664 0.0000
0.0000 -3.1332 6.6982
ATOMIC_POSITIONS angstrom
S 3.9811 3.1332 1.5314
Au 0.0000 0.0000 0.0000
Mn 2.8794 4.6998 0.0000
Tl 1.2495 3.1332 3.3491
Tl 4.5092 0.0000 3.3491
S 3.9811 3.1332 5.1668
Mn 2.8794 1.5666 0.0000
Au 0.0000 3.1332 0.0000
S 1.7777 0.0000 5.1668
S 1.7777 0.0000 1.5314



! Ce4SmSn5 (PBE-GGA, relaxed); values from VASP
! Energy of formation from the pure elements in eV/atom: -0.6039
! VASP energy in eV per cell: -54.51
! DOS at the Fermi energy in states/eV/cell: 22.2
! Symmetry: P4/mmm, No. 123
&SYSTEM
  ibrav = 0, nat = 10, ntyp = 3
/
ATOMIC_SPECIES
Sm 150.36 Sm.upf
Ce 140.12 Ce.upf
Sn 118.71 Sn.upf
CELL_PARAMETERS angstrom
-2.3045 1.1817 -3.2479
1.7746 -2.9453 -2.3308
-11.4804 -10.3760 4.3706
ATOMIC_POSITIONS angstrom
Sm 0.0000 0.0000 0.0000
Ce -4.5941 -4.1521 1.7490
Sn -6.0051 -6.0698 -0.6040
Sn -1.4261 -1.9312 -2.3473
Sn -10.5842 -10.2083 1.1392
Sn -3.7249 -4.0089 -1.4721
Sn -8.2853 -8.1306 0.2641
Ce -6.8863 -6.2239 2.6217
Ce -2.3530 -2.1267 0.8958
Ce -9.1273 -8.2493 3.4748



! BeNb2S (PBE-GGA, relaxed); values from VASP
! VASP energy in eV per cell: -28.17
! DOS at the Fermi energy in states/eV/cell: 2.8
! Polymorph energy (0 for the lowest one) in eV per atom: 0.398
! Symmetry: Fm-3m, No. 225
&SYSTEM
  ibrav = 0, nat = 4, ntyp = 3
/
ATOMIC_SPECIES
S 32.06 S.upf
Nb 92.91 Nb.upf
Be 9.01 Be.upf
CELL_PARAMETERS angstrom
0.0000 3.0564 3.0564
3.0564 0.0000 3.0564
3.0564 3.0564 0.0000
ATOMIC_POSITIONS angstrom
S 3.0564 3.0564 3.0564
Nb 1.5282 1.5282 1.5282
Be 0.0000 0.0000 0.0000
Nb 4.5846 4.5846 4.5846



! YMg2BiB (PBE-GGA, relaxed); values from VASP
! Energy of formation from the pure elements in eV/atom: -0.2095
! VASP energy in eV per cell: -21.26
! DOS at the Fermi energy in states/eV/cell: 2.5
! Symmetry: P4/mmm, No. 123
&SYSTEM
  ibrav = 0, nat = 5, ntyp = 4
/
ATOMIC_SPECIES
Y 88.91 Y.upf
Mg 24.30 Mg.upf
Bi 208.98 Bi.upf
B 10.81 B.upf
CELL_PARAMETERS angstrom
-2.9273 -1.6417 -3.2293
2.4504 -3.9552 -0.2106
-2.9023 -1.9921 3.6436
ATOMIC_POSITIONS angstrom
Y -1.4511 -0.9960 1.8218
Mg 1.2252 -1.9776 -0.1053
Mg -1.4636 -0.8208 -1.6147
Bi -1.6896 -3.7945 0.1018
B 0.0000 0.0000 0.0000



! PuMnInCu (PBE-GGA, relaxed); values from VASP
! Energy of formation from the pure elements in eV/atom: 0.2662
! VASP energy in eV per cell: -29.27
! DOS at the Fermi energy in states/eV/cell: 15.6
! Symmetry: F-43m, No. 216
&SYSTEM
  ibrav = 0, nat = 4, ntyp = 4
/
ATOMIC_SPECIES
In 114.82 In.upf
Cu 63.55 Cu.upf
Pu 244.00 Pu.upf
Mn 54.94 Mn.upf
CELL_PARAMETERS angstrom
-2.2529 2.7891 3.2368
-2.2345 -2.0104 3.7811
1.8327 0.5105 4.4398
ATOMIC_POSITIONS angstrom
In -0.6637 0.3223 2.8644
Cu -1.3274 0.6446 5.7288
Pu -1.9911 0.9669 8.5932
Mn 0.0000 0.0000 0.0000



Q: Which value of DOS at the Fermi energy does entry 4 give?
A: 1.0 states/eV/cell